# 1
Compound: La6AsPt2I3
Source: the Alexandria database
Functional: PBE-GGA
Structure: optimized geometry

* DOS at the Fermi energy: 0.94 states/eV per atom
* formation energy (no corrections): -1.2404 eV/atom

a b c (Å): 7.607 13.218 8.328
angles (deg): 90.00 107.73 90.00
Space group C2/m (No. 12)
Inequivalent atoms, fractional coordinates:
La: 0.220 0.000 0.195 x4
La: 0.240 0.328 0.195 x8
As: 0.000 0.500 0.000 x2
Pt: 0.000 0.167 0.000 x4
I: 0.000 0.000 0.500 x2
I: 0.000 0.339 0.500 x4

=====

# 2
Compound: La6As2PtI3
Source: the Alexandria database
Functional: PBE-GGA
Structure: optimized geometry

* DOS at the Fermi energy: 0.77 states/eV per atom
* formation energy (no corrections): -1.3019 eV/atom

a b c (Å): 7.690 13.264 8.034
angles (deg): 90.00 108.76 90.00
Space group C2/m (No. 12)
Inequivalent atoms, fractional coordinates:
La: 0.231 0.163 0.204 x8
La: 0.240 0.500 0.210 x4
As: 0.000 0.334 0.000 x4
Pt: 0.000 0.000 0.000 x2
I: 0.000 0.173 0.500 x4
I: 0.000 0.500 0.500 x2

=====

# 3
Compound: La8As3PtI4
Source: the Alexandria database
Functional: PBE-GGA
Structure: optimized geometry

* DOS at the Fermi energy: 0.63 states/eV per atom
* formation energy (no corrections): -1.3303 eV/atom

a b c (Å): 8.8395 8.8395 23.1122
angles (deg): 90.00 90.00 120.00
Space group R-3m (No. 166, hexagonal axes)
Inequivalent atoms, fractional coordinates:
La: 0.0000 0.0000 0.2348 x6
La: 0.0078 0.5039 0.2340 x18
As: 0.0000 0.5000 0.5000 x9
Pt: 0.0000 0.0000 0.5000 x3
I: 0.0000 0.0000 0.0000 x3
I: 0.0000 0.5000 0.0000 x9

=====

# 4
Compound: La8AsRh3I4
Source: the Alexandria database
Functional: PBE-GGA
Structure: optimized geometry

* DOS at the Fermi energy: 0.73 states/eV per atom
* formation energy (no corrections): -1.0865 eV/atom

a b c (Å): 14.962 8.629 9.553
angles (deg): 90.00 121.48 90.00
Space group C2/m (No. 12)
Inequivalent atoms, fractional coordinates:
La: 0.024 0.239 0.311 x8
La: 0.230 0.000 0.689 x4
La: 0.237 0.500 0.688 x4
As: 0.000 0.500 0.500 x2
Rh: 0.000 0.000 0.500 x2
Rh: 0.250 0.250 0.500 x4
I: 0.000 0.000 0.000 x2
I: 0.000 0.500 0.000 x2
I: 0.250 0.250 0.000 x4

=====

# 5
Compound: La4AsRhI2
Source: the Alexandria database
Functional: PBE-GGA
Structure: optimized geometry

* DOS at the Fermi energy: 0.95 states/eV per atom
* formation energy (no corrections): -1.1699 eV/atom

a b c (Å): 7.829 4.230 8.241
angles (deg): 90.00 106.63 90.00
Space group P2/m (No. 10)
Inequivalent atoms, fractional coordinates:
La: 0.212 0.000 0.189 x2
La: 0.261 0.500 0.799 x2
As: 0.500 0.000 0.000 x1
Rh: 0.000 0.500 0.000 x1
I: 0.000 0.000 0.500 x1
I: 0.500 0.500 0.500 x1

=====

# 6
Compound: La8AsRh3I3
Source: the Alexandria database
Functional: PBE-GGA
Structure: optimized geometry

* DOS at the Fermi energy: 0.92 states/eV per atom
* formation energy (no corrections): -0.9585 eV/atom

a b c (Å): 14.954 8.627 9.316
angles (deg): 90.00 122.28 90.00
Space group C2/m (No. 12)
Inequivalent atoms, fractional coordinates:
La: 0.021 0.238 0.303 x8
La: 0.231 0.000 0.693 x4
La: 0.240 0.500 0.696 x4
As: 0.000 0.500 0.500 x2
Rh: 0.000 0.000 0.500 x2
Rh: 0.250 0.250 0.500 x4
I: 0.000 0.500 0.000 x2
I: 0.250 0.250 0.000 x4

=====

# 7
Compound: La6AsRu2I3
Source: the Alexandria database
Functional: PBE-GGA
Structure: optimized geometry

* DOS at the Fermi energy: 0.91 states/eV per atom
* formation energy (no corrections): -0.9835 eV/atom

a b c (Å): 7.522 12.889 8.496
angles (deg): 90.00 107.74 90.00
Space group C2/m (No. 12)
Inequivalent atoms, fractional coordinates:
La: 0.207 0.000 0.186 x4
La: 0.231 0.323 0.190 x8
As: 0.000 0.500 0.000 x2
Ru: 0.000 0.168 0.000 x4
I: 0.000 0.000 0.500 x2
I: 0.000 0.338 0.500 x4

=====

# 8
Compound: LaAs2RuI
Source: the Alexandria database
Functional: PBE-GGA
Structure: optimized geometry

* DOS at the Fermi energy: 2.23 states/eV per atom
* formation energy (no corrections): 1.1012 eV/atom

a b c (Å): 5.847 5.847 4.852
angles (deg): 90.00 90.00 90.00
Space group P4/mmm (No. 123)
Inequivalent atoms, fractional coordinates:
La: 0.000 0.000 0.000 x1
As: 0.000 0.500 0.000 x2
Ru: 0.000 0.000 0.500 x1
I: 0.500 0.500 0.500 x1